The following is a GGA-PBE calculation of BaRe2SiP after structural relaxation, from the Alexandria database.

Properties
* raw formation energy: 1.07 eV per atom

a = 4.6149 Å, b = 4.6149 Å, c = 5.1387 Å
α = 90.00°, β = 90.00°, γ = 90.00°
Closest atoms and distances in Å follow each position.
Space group P4/mmm (No. 123)
Unique sites:
Ba (0.0000, 0.0000, 0.0000) [1 per cell]  4 P 3.26, 8 Re 3.45
Re (0.0000, 0.5000, 0.5000) [2 per cell]  2 Si 2.31
Si (0.5000, 0.5000, 0.5000) [1 per cell]  4 Re 2.31, 2 P 2.57
P (0.5000, 0.5000, 0.0000) [1 per cell]  2 Si 2.57